# GGA+U Na3FeBAsO7, relaxed
# total magnetic moment	5.00	μB/f.u.
# DFT total energy	-6.069	eV per atom
# theoretical density	3.208	g/cm3
# volume	12.841	Å³/atom
data_Na3FeBAsO7
_chemical_formula_sum 'Na6 Fe2 B2 As2 O14'
_symmetry_space_group_name_H-M 'P 1 21/m 1'
_symmetry_Int_Tables_number 11
_symmetry_space_group_name_Hall '-P 2yb'
_cell_length_a 5.364
_cell_length_b 6.844
_cell_length_c 9.098
_cell_angle_alpha 90.00
_cell_angle_beta 91.64
_cell_angle_gamma 90.00
loop_
_atom_site_label
_atom_site_fract_x
_atom_site_fract_y
_atom_site_fract_z
Na1 0.243 0.250 0.075
Na2 0.245 0.002 0.759
Fe1 0.223 0.750 0.330
B1 0.274 0.750 0.063
As1 0.284 0.250 0.425
O1 0.039 0.750 0.128
O2 0.128 0.250 0.586
O3 0.211 0.054 0.313
O4 0.310 0.750 0.917
O5 0.399 0.750 0.532
O6 0.471 0.750 0.170